Record 1
First-principles (PBE) data for crystalline NaMgTaNi at its relaxed geometry, as listed in OQMD.

a b c (Å): 6.504 6.504 6.504
angles (deg): 90.00 90.00 90.00
Space group F-43m (No. 216)
Symmetry-distinct sites (fractional):
1 Na 0.000 0.000 0.000
2 Mg 0.250 0.250 0.750
3 Ta 0.000 0.000 0.500
4 Ni 0.250 0.250 0.250

Summary:
**Polymorph energy (0 for the lowest one)**: 0.103 eV per atom

=====

Record 2
First-principles (PBE) data for crystalline Na2MgOsO6 at its relaxed geometry, as listed in OQMD.

a b c (Å): 5.361 5.431 9.332
angles (deg): 90.00 125.00 90.00
Space group P2_1/c (No. 14)
Symmetry-distinct sites (fractional):
1 Na 0.245 0.034 0.251
2 Mg 0.500 0.000 0.000
3 Os 0.000 0.000 0.500
4 O 0.158 0.220 0.963
5 O 0.246 0.697 0.966
6 O 0.308 0.015 0.739

Summary:
**Polymorph energy (0 for the lowest one)**: 0.000 eV per atom

=====

Record 3
First-principles (PBE) data for crystalline Na2MgOsO6 at its relaxed geometry, as listed in OQMD.

a b c (Å): 5.368 5.368 7.785
angles (deg): 90.00 90.00 90.00
Space group I4/m (No. 87)
Symmetry-distinct sites (fractional):
1 Na 0.000 0.500 0.250
2 Mg 0.000 0.000 0.000
3 Os 0.000 0.000 0.500
4 O 0.000 0.000 0.261
5 O 0.184 0.706 0.500

Summary:
**Polymorph energy (0 for the lowest one)**: 0.005 eV per atom

=====

| no. | spin magnetization (μB/cell) |
| --- | --- |
| 1 | 0.0 |
| 2 | 0.0 |
| 3 | 0.0 |